This record from Alexandria via LeMat-Bulk describes an optimized crystal structure of K2Tl6ZnHg. The functional is PBE.

Summary:
V = 36.04 Å³ per atom
ΔE_f = 0.0345 eV per atom
Space group = Pmmn
Total magnetization = 0.00 μB/f.u.

Cell: 6.751 9.805 10.888 Å, 90.00 90.00 90.00°
Element x y z (fractional)
K 0.250 0.022 0.239
K 0.250 0.478 0.239
K 0.750 0.522 0.761
K 0.750 0.978 0.761
Tl 0.002 0.250 0.962
Tl 0.004 0.750 0.485
Tl 0.250 0.511 0.621
Tl 0.250 0.989 0.621
Tl 0.496 0.750 0.485
Tl 0.498 0.250 0.962
Tl 0.502 0.750 0.038
Tl 0.504 0.250 0.515
Tl 0.750 0.011 0.379
Tl 0.750 0.489 0.379
Tl 0.996 0.250 0.515
Tl 0.998 0.750 0.038
Zn 0.250 0.250 0.748
Zn 0.750 0.750 0.252
Hg 0.250 0.750 0.803
Hg 0.750 0.250 0.197

---

This record from Alexandria via LeMat-Bulk describes an optimized crystal structure of KTl2ZnHg. The functional is PBE.

Summary:
V = 32.57 Å³ per atom
ΔE_f = 0.0269 eV per atom
Space group = P4/mmm
Total magnetization = 0.00 μB/f.u.

Cell: 5.482 5.482 5.419 Å, 90.00 90.00 90.00°
Element x y z (fractional)
K 0.000 0.000 0.000
Tl 0.000 0.500 0.500
Tl 0.500 0.000 0.500
Zn 0.500 0.500 0.500
Hg 0.500 0.500 0.000

---

This record from Alexandria via LeMat-Bulk describes an optimized crystal structure of K2TlZnHg. The functional is PBE.

Summary:
V = 45.26 Å³ per atom
ΔE_f = 0.0730 eV per atom
Space group = P4/mmm
Total magnetization = 0.00 μB/f.u.

Cell: 6.528 6.528 5.311 Å, 90.00 90.00 90.00°
Element x y z (fractional)
K 0.000 0.500 0.000
K 0.500 0.000 0.000
Tl 0.000 0.000 0.500
Zn 0.000 0.000 0.000
Hg 0.500 0.500 0.500

---

This record from Alexandria via LeMat-Bulk describes an optimized crystal structure of KTm2Hg3. The functional is PBE.

Summary:
V = 27.75 Å³ per atom
ΔE_f = -0.3664 eV per atom
Space group = P4/mmm
Total magnetization = 0.00 μB/f.u.

Cell: 3.702 3.702 12.150 Å, 90.00 90.00 90.00°
Element x y z (fractional)
K 0.000 0.000 0.000
Tm 0.000 0.000 0.348
Tm 0.000 0.000 0.652
Hg 0.500 0.500 0.211
Hg 0.500 0.500 0.500
Hg 0.500 0.500 0.789

---

This record from Alexandria via LeMat-Bulk describes an optimized crystal structure of KTm4Hg5. The functional is PBE.

Summary:
V = 26.56 Å³ per atom
ΔE_f = -0.4100 eV per atom
Space group = P4/mmm
Total magnetization = 0.00 μB/f.u.

Cell: 3.702 3.702 19.382 Å, 90.00 90.00 90.00°
Element x y z (fractional)
K 0.000 0.000 0.000
Tm 0.000 0.000 0.217
Tm 0.000 0.000 0.406
Tm 0.000 0.000 0.594
Tm 0.000 0.000 0.783
Hg 0.500 0.500 0.132
Hg 0.500 0.500 0.313
Hg 0.500 0.500 0.500
Hg 0.500 0.500 0.687
Hg 0.500 0.500 0.868

---

This record from Alexandria via LeMat-Bulk describes an optimized crystal structure of KTmHg. The functional is PBE.

Summary:
V = 35.81 Å³ per atom
ΔE_f = 0.0446 eV per atom
Space group = P-6m2
Total magnetization = 0.01 μB/f.u.

Cell: 3.841 3.841 16.812 Å, 90.00 90.00 120.00°
Element x y z (fractional)
K 0.000 0.000 0.170
K 0.000 0.000 0.830
Tm 0.333 0.667 0.376
Tm 0.333 0.667 0.624
Hg 0.000 0.000 0.500
Hg 0.333 0.667 0.000

---

This record from Alexandria via LeMat-Bulk describes an optimized crystal structure of KV3Hg. The functional is PBE.

Summary:
V = 16.44 Å³ per atom
Polymorph energy (0 for the lowest one) = 811.6 meV per atom
ΔE_f = 2.3327 eV per atom
Space group = Pm-3m
Total magnetization = 0.00 μB/f.u.

Cell: 4.348 4.348 4.348 Å, 90.00 90.00 90.00°
Element x y z (fractional)
K 0.000 0.000 0.000
V 0.000 0.000 0.500
V 0.000 0.500 0.000
V 0.500 0.000 0.000
Hg 0.500 0.500 0.500

---

This record from Alexandria via LeMat-Bulk describes an optimized crystal structure of KV3Hg. The functional is PBE.

Summary:
V = 29.66 Å³ per atom
Polymorph energy (0 for the lowest one) = 0.0 meV per atom
ΔE_f = 1.5210 eV per atom
Space group = Pm-3m
Total magnetization = 10.83 μB/f.u.

Cell: 5.293 5.293 5.293 Å, 90.00 90.00 90.00°
Element x y z (fractional)
K 0.000 0.000 0.000
V 0.000 0.500 0.500
V 0.500 0.000 0.500
V 0.500 0.500 0.000
Hg 0.500 0.500 0.500